[1]
# PBE LuVCo2, relaxed
data_LuVCo2
_chemical_formula_sum 'Lu1 V1 Co2'
_cell_length_a 4.380
_cell_length_b 4.380
_cell_length_c 3.034
_cell_angle_alpha 90.00
_cell_angle_beta 90.00
_cell_angle_gamma 90.00
_symmetry_space_group_name_H-M 'P 4/m m m'
_symmetry_Int_Tables_number 123
_symmetry_space_group_name_Hall '-P 4 2'
loop_
_atom_site_label
_atom_site_type_symbol
_atom_site_fract_x
_atom_site_fract_y
_atom_site_fract_z
Lu1 Lu 0.000 0.000 0.000
V1 V 0.500 0.500 0.000
Co1 Co 0.000 0.500 0.500
# * total magnetic moment: 0.552 μB per atom
# * ΔE_f: 6 meV per atom
# * E: -6.957 eV per atom

[2]
# PBE LuVCo2, relaxed
data_LuVCo2
_chemical_formula_sum 'Lu4 V4 Co8'
_cell_length_a 6.158
_cell_length_b 6.158
_cell_length_c 6.158
_cell_angle_alpha 90.00
_cell_angle_beta 90.00
_cell_angle_gamma 90.00
_symmetry_space_group_name_H-M 'F m -3 m'
_symmetry_Int_Tables_number 225
_symmetry_space_group_name_Hall '-F 4 2 3'
loop_
_atom_site_label
_atom_site_type_symbol
_atom_site_fract_x
_atom_site_fract_y
_atom_site_fract_z
Lu1 Lu 0.000 0.000 0.000
V1 V 0.000 0.000 0.500
Co1 Co 0.250 0.250 0.250
# * total magnetic moment: 0.539 μB per atom
# * ΔE_f: -6 meV per atom
# * E: -6.969 eV per atom

[3]
# PBE LuVCo2, relaxed
data_LuVCo2
_chemical_formula_sum 'Lu1 V1 Co2'
_cell_length_a 2.947
_cell_length_b 2.947
_cell_length_c 6.661
_cell_angle_alpha 90.00
_cell_angle_beta 90.00
_cell_angle_gamma 90.00
_symmetry_space_group_name_H-M 'P 4/m m m'
_symmetry_Int_Tables_number 123
_symmetry_space_group_name_Hall '-P 4 2'
loop_
_atom_site_label
_atom_site_type_symbol
_atom_site_fract_x
_atom_site_fract_y
_atom_site_fract_z
Lu1 Lu 0.000 0.000 0.000
V1 V 0.000 0.000 0.500
Co1 Co 0.500 0.500 0.304
# * total magnetic moment: 0.000 μB per atom
# * ΔE_f: -132 meV per atom
# * E: -7.095 eV per atom

[4]
# PBE LuVCo2, relaxed
data_LuVCo2
_chemical_formula_sum 'Lu3 V3 Co6'
_cell_length_a 3.9716
_cell_length_b 3.9716
_cell_length_c 14.0382
_cell_angle_alpha 90.00
_cell_angle_beta 90.00
_cell_angle_gamma 120.00
_symmetry_space_group_name_H-M 'R -3 m'
_symmetry_Int_Tables_number 166
_symmetry_space_group_name_Hall '-R 3 2"'
loop_
_atom_site_label
_atom_site_type_symbol
_atom_site_fract_x
_atom_site_fract_y
_atom_site_fract_z
Lu1 Lu 0.0000 0.0000 0.0000
V1 V 0.0000 0.0000 0.5000
Co1 Co 0.0000 0.0000 0.2040
# * total magnetic moment: 0.000 μB per atom
# * ΔE_f: -116 meV per atom
# * E: -7.079 eV per atom